## Ba2InCl (PBEsol)

Data for an optimized crystal structure of Ba2InCl.

POSCAR file:
```
Ba2InCl
1.0
3.993 0.000 0.000
0.000 6.154 0.000
0.000 0.000 6.154
In Ba Cl
1 2 1
direct
0.255 0.500 0.500 In
0.754 0.000 0.500 Ba
0.754 0.500 0.000 Ba
0.751 0.000 0.000 Cl
```

## Properties
total moment = 0.0 μB/f.u.
formation energy (no corrections) = -1.086 eV per atom
density = 4.7 g cm⁻³
ΔE to the lowest computed polymorph = 20 meV per atom
density of states at the Fermi level = 0.55 states/eV per atom